GGA-PBE Ba2CoAg, optimized geometry; total energy = -12.42 eV for the cell shown; distance to the lowest polymorph of the same formula = 191.0 meV per atom; energy of formation = 0.3460 eV/atom
1.0
-1.4522 0.5003 8.5081
1.4082 -2.9721 7.9956
2.9819 1.2735 8.0145
Ba Ag Co
2 1 1
direct
0.9909 0.9909 0.9909
0.5091 0.5091 0.5091
0.7500 0.7500 0.7500
0.2500 0.2500 0.2500

GGA-PBE YSnW2, optimized geometry; total energy = -63.88 eV for the cell shown; energy of formation = 1.1077 eV/atom
1.0
8.0114 0.0000 0.0000
0.0000 8.0114 0.0000
4.0057 4.0057 2.7909
Y W Sn
2 4 2
direct
0.5000 0.5000 0.0000
0.2500 0.7500 0.5000
0.0880 0.6250 0.2500
0.3750 0.3380 0.7500
0.6620 0.1250 0.2500
0.8750 0.9120 0.7500
0.0000 0.0000 0.0000
0.7500 0.2500 0.5000

GGA-PBE Ce3SmDy4S8, optimized geometry; total energy = -106.38 eV for the cell shown; E_form (uncorrected) = -2.027 eV/atom
1.0
-2.2560 6.7593 3.4024
-0.7478 -3.7577 6.9691
6.8404 -0.3515 -3.9291
S Sm Ce Dy
8 1 3 4
direct
0.7468 0.2394 0.9926
0.2458 0.2394 0.9926
0.7542 0.7606 0.0074
0.7539 0.7616 0.5077
0.2461 0.2384 0.4923
0.2532 0.7606 0.5064
0.7468 0.2394 0.4936
0.2532 0.7606 0.0074
0.0000 0.5000 0.0000
0.0000 0.5000 0.5000
0.5000 0.5000 0.5000
0.5000 0.5000 0.0000
0.5000 0.0000 0.5000
0.0000 0.0000 0.0000
0.0000 0.0000 0.5000
0.5000 0.0000 0.0000

GGA-PBE TmSi2Pd7, optimized geometry; total energy = -59.42 eV for the cell shown; distance to the lowest polymorph of the same formula = 0.0 meV per atom; E_form (uncorrected) = -0.776 eV/atom
1.0
-3.6787 1.4835 0.7228
-0.7714 -3.1070 2.4511
5.8506 6.0258 6.1635
Tm Pd Si
1 7 2
direct
0.0000 0.0000 0.0000
0.5000 0.5000 0.0000
0.3932 0.8932 0.7865
0.6068 0.1068 0.2135
0.2500 0.7500 0.5000
0.8932 0.3932 0.7865
0.7500 0.2500 0.5000
0.1068 0.6068 0.2135
0.3250 0.3250 0.6499
0.6750 0.6750 0.3501

> total energy of number 2 (YSnW2)?

-63.88 eV for the cell shown

> Which value of total energy does entry 4 give?

-59.42 eV for the cell shown